A geometry-optimized Nd3SmAs structure, computed with PBE.

```
Nd3SmAs
1.0
2.7647 -8.0576 0.0000
2.7647 8.0576 0.0000
0.0000 0.0000 6.7336
Nd Sm As
6 2 2
direct
0.0238 0.9762 0.7500 Nd
0.3891 0.6109 0.5134 Nd
0.3891 0.6109 0.9866 Nd
0.6109 0.3891 0.0134 Nd
0.6109 0.3891 0.4866 Nd
0.9762 0.0238 0.2500 Nd
0.2068 0.7932 0.2500 Sm
0.7932 0.2068 0.7500 Sm
0.2161 0.7839 0.7500 As
0.7839 0.2161 0.2500 As
```

Values from the calculation:
Energy (Ry/atom): -0.37612
Total moment (μB/f.u.): 0.018